# PBE Ca2CeRuO8, optimized geometry
data_Ca2CeRuO8
_chemical_formula_sum 'Ca2 Ce1 Ru1 O8'
_space_group_name_H-M_alt 'P 1 2/m 1'
_space_group_IT_number 10
_cell_length_a 5.0735
_cell_length_b 6.8257
_cell_length_c 5.0919
_cell_angle_alpha 90.00
_cell_angle_beta 92.21
_cell_angle_gamma 90.00
loop_
_space_group_symop_operation_xyz
'x,y,z'
'-x,-y,-z'
'-x,y,-z'
'x,-y,z'
loop_
_atom_site_label
_atom_site_type_symbol
_atom_site_fract_x
_atom_site_fract_y
_atom_site_fract_z
_atom_site_occupancy
Ca1 Ca 0.0000 0.2452 0.0000 1
Ce1 Ce 0.5000 0.5000 0.5000 1
Ru1 Ru 0.5000 0.0000 0.5000 1
O1 O 0.2107 0.5000 0.2100 1
O2 O 0.2369 0.0000 0.2361 1
O3 O 0.3218 0.2045 0.6763 1
# Raw total energy ... -6.93 eV/atom
# Total magnetic moment ... 0.0 μB/f.u.
# Formation energy (no corrections) ... -2025 meV per atom

***

# PBE TmCu5Au7, optimized geometry
data_TmCu5Au7
_chemical_formula_sum 'Tm2 Cu10 Au14'
_space_group_name_H-M_alt 'I m m 2'
_space_group_IT_number 44
_cell_length_a 5.2243
_cell_length_b 9.0450
_cell_length_c 9.1318
_cell_angle_alpha 90.00
_cell_angle_beta 90.00
_cell_angle_gamma 90.00
loop_
_space_group_symop_operation_xyz
'x,y,z'
'-x,-y,z'
'-x,y,z'
'x,-y,z'
'x+1/2,y+1/2,z+1/2'
'-x+1/2,-y+1/2,z+1/2'
'-x+1/2,y+1/2,z+1/2'
'x+1/2,-y+1/2,z+1/2'
loop_
_atom_site_label
_atom_site_type_symbol
_atom_site_fract_x
_atom_site_fract_y
_atom_site_fract_z
_atom_site_occupancy
Tm1 Tm 0.0000 0.0000 0.0000 1
Cu1 Cu 0.0000 0.5000 0.2602 1
Cu2 Cu 0.2479 0.2544 0.2424 1
Au1 Au 0.0000 0.0000 0.3391 1
Au2 Au 0.0000 0.0000 0.6685 1
Au3 Au 0.0000 0.3030 0.4872 1
Au4 Au 0.0000 0.3371 0.9970 1
Au5 Au 0.0000 0.5000 0.7212 1
# Raw total energy ... -3.92 eV/atom
# Total magnetic moment ... 0.0 μB/f.u.
# ΔE_f ... -0.232 eV per atom

***

# PBE Th8C3S4N, optimized geometry
data_Th8C3S4N
_chemical_formula_sum 'Th24 C9 S12 N3'
_space_group_name_H-M_alt 'R -3 m'
_space_group_IT_number 166
_space_group_name_Hall '-R 3 2"'
_cell_length_a 7.6713
_cell_length_b 7.6713
_cell_length_c 19.9602
_cell_angle_alpha 90.00
_cell_angle_beta 90.00
_cell_angle_gamma 120.00
loop_
_atom_site_label
_atom_site_type_symbol
_atom_site_fract_x
_atom_site_fract_y
_atom_site_fract_z
_atom_site_occupancy
Th1 Th 0.0000 0.0000 0.2376 1
Th2 Th 0.0013 0.5007 0.2376 1
C1 C 0.0000 0.5000 0.5000 1
S1 S 0.0000 0.0000 0.0000 1
S2 S 0.0000 0.5000 0.0000 1
N1 N 0.0000 0.0000 0.5000 1
# Raw total energy ... -8.32 eV/atom
# Total magnetic moment ... 0.0 μB/f.u.
# Formation energy (no corrections) ... -1324 meV per atom

***

# PBE MgBe3Si, optimized geometry
data_MgBe3Si
_chemical_formula_sum 'Mg1 Be3 Si1'
_space_group_name_H-M_alt 'P m -3 m'
_space_group_IT_number 221
_space_group_name_Hall '-P 4 2 3'
_cell_length_a 4.2514
_cell_length_b 4.2514
_cell_length_c 4.2514
_cell_angle_alpha 90.00
_cell_angle_beta 90.00
_cell_angle_gamma 90.00
loop_
_atom_site_label
_atom_site_type_symbol
_atom_site_fract_x
_atom_site_fract_y
_atom_site_fract_z
_atom_site_occupancy
Mg1 Mg 0.0000 0.0000 0.0000 1
Be1 Be 0.0000 0.5000 0.5000 1
Si1 Si 0.5000 0.5000 0.5000 1
# Raw total energy ... -2.84 eV/atom
# Total magnetic moment ... 0.0 μB/f.u.
# Formation energy (no corrections) ... 801 meV per atom

***

# PBE KPt2Br, optimized geometry
data_KPt2Br
_chemical_formula_sum 'K2 Pt4 Br2'
_space_group_name_H-M_alt 'C m m m'
_space_group_IT_number 65
_space_group_name_Hall '-C 2 2'
_cell_length_a 5.5818
_cell_length_b 12.6099
_cell_length_c 2.6670
_cell_angle_alpha 90.00
_cell_angle_beta 90.00
_cell_angle_gamma 90.00
loop_
_atom_site_label
_atom_site_type_symbol
_atom_site_fract_x
_atom_site_fract_y
_atom_site_fract_z
_atom_site_occupancy
K1 K 0.0000 0.0000 0.0000 1
Pt1 Pt 0.2500 0.2500 0.5000 1
Br1 Br 0.0000 0.5000 0.0000 1
# Raw total energy ... -3.35 eV/atom
# Total magnetic moment ... 0.0 μB/f.u.
# Formation energy (no corrections) ... 359 meV per atom

***

# PBE La3ZnCd2, optimized geometry
data_La3ZnCd2
_chemical_formula_sum 'La6 Zn2 Cd4'
_space_group_name_H-M_alt 'C m m m'
_space_group_IT_number 65
_space_group_name_Hall '-C 2 2'
_cell_length_a 5.4822
_cell_length_b 16.4601
_cell_length_c 3.8763
_cell_angle_alpha 90.00
_cell_angle_beta 90.00
_cell_angle_gamma 90.00
loop_
_atom_site_label
_atom_site_type_symbol
_atom_site_fract_x
_atom_site_fract_y
_atom_site_fract_z
_atom_site_occupancy
La1 La 0.0000 0.0000 0.0000 1
La2 La 0.0000 0.3422 0.0000 1
Zn1 Zn 0.0000 0.5000 0.5000 1
Cd1 Cd 0.0000 0.1726 0.5000 1
# Raw total energy ... -3.30 eV/atom
# Total magnetic moment ... 0.0 μB/f.u.
# ΔE_f ... -0.318 eV per atom

***

# PBE Co2SiRh, optimized geometry
data_Co2SiRh
_chemical_formula_sum 'Co4 Si2 Rh2'
_space_group_name_H-M_alt 'C 1 m 1'
_space_group_IT_number 8
_cell_length_a 8.6708
_cell_length_b 2.7235
_cell_length_c 4.3074
_cell_angle_alpha 90.00
_cell_angle_beta 110.47
_cell_angle_gamma 90.00
loop_
_space_group_symop_operation_xyz
'x,y,z'
'x,-y,z'
'x+1/2,y+1/2,z'
'x+1/2,-y+1/2,z'
loop_
_atom_site_label
_atom_site_type_symbol
_atom_site_fract_x
_atom_site_fract_y
_atom_site_fract_z
_atom_site_occupancy
Co1 Co 0.0000 0.0000 0.0000 1
Co2 Co 0.2459 0.0000 0.8425 1
Si1 Si 0.2185 0.5000 0.3299 1
Rh1 Rh 0.4630 0.0000 0.4815 1
# Raw total energy ... -7.03 eV/atom
# Total magnetic moment ... 2.6 μB/f.u.
# Formation energy (no corrections) ... -284 meV per atom